Entry 1:
{"formula": "HfMgOs2", "functional": "GGA-PBE", "state": "optimized geometry", "lattice": [[0.0000, 3.1955, 3.1955], [3.1955, 0.0000, 3.1955], [3.1955, 3.1955, 0.0000]], "species": ["Hf", "Mg", "Os", "Os"], "frac_coords": [[0.0000, 0.0000, 0.0000], [0.7500, 0.7500, 0.7500], [0.2500, 0.2500, 0.2500], [0.5000, 0.5000, 0.5000]], "vol_a3_per_cell": 65.26, "magmom_total_mub_per_atom": 0.002, "dft_energy_ev_per_atom": -8.308, "crystal_system": "cubic", "space_group": "F-43m, No. 216"}



Entry 2:
{"formula": "TbYSn2Pd4", "functional": "GGA-PBE", "state": "optimized geometry", "lattice": [[4.5895, 0.0000, 0.0000], [-2.2948, 3.9747, 0.0000], [0.0000, 0.0000, 8.9713]], "species": ["Tb", "Y", "Sn", "Sn", "Pd", "Pd", "Pd", "Pd"], "frac_coords": [[0.0000, 0.0000, 0.0000], [0.6667, 0.3333, 0.5000], [0.3333, 0.6667, 0.2509], [0.3333, 0.6667, 0.7491], [0.0000, 0.0000, 0.3352], [0.0000, 0.0000, 0.6648], [0.6667, 0.3333, 0.1642], [0.6667, 0.3333, 0.8358]], "vol_a3_per_cell": 163.65, "magmom_total_mub_per_atom": 0.001, "dft_energy_ev_per_atom": -5.864, "crystal_system": "hexagonal", "space_group": "P-6m2, No. 187"}



Entry 3:
{"formula": "Re2BW", "functional": "GGA-PBE", "state": "optimized geometry", "lattice": [[0.0000, 3.0073, 3.0073], [3.0073, 0.0000, 3.0073], [3.0073, 3.0073, 0.0000]], "species": ["Re", "Re", "B", "W"], "frac_coords": [[0.0000, 0.0000, 0.0000], [0.2500, 0.2500, 0.2500], [0.5000, 0.5000, 0.5000], [0.7500, 0.7500, 0.7500]], "vol_a3_per_cell": 54.39, "magmom_total_mub_per_atom": 0.001, "dft_energy_ev_per_atom": -10.419, "crystal_system": "cubic", "space_group": "F-43m, No. 216"}



Entry 4:
{"formula": "LiTbHgSe3", "functional": "GGA-PBE", "state": "optimized geometry", "lattice": [[2.0464, -6.6832, 0.0000], [2.0464, 6.6832, 0.0000], [0.0000, 0.0000, 11.1224]], "species": ["Li", "Li", "Tb", "Tb", "Hg", "Hg", "Se", "Se", "Se", "Se", "Se", "Se"], "frac_coords": [[0.2245, 0.7755, 0.7500], [0.7755, 0.2245, 0.2500], [0.0000, 0.0000, 0.0000], [0.0000, 0.0000, 0.5000], [0.4747, 0.5253, 0.2500], [0.5253, 0.4747, 0.7500], [0.1056, 0.8944, 0.2500], [0.3555, 0.6445, 0.0620], [0.3555, 0.6445, 0.4380], [0.6445, 0.3555, 0.5620], [0.6445, 0.3555, 0.9380], [0.8944, 0.1056, 0.7500]], "vol_a3_per_cell": 304.23, "magmom_total_mub_per_atom": 0.000, "dft_energy_ev_per_atom": -3.928, "crystal_system": "orthorhombic", "space_group": "Cmcm, No. 63"}



Entry 5:
{"formula": "PmNdPa", "functional": "GGA-PBE", "state": "optimized geometry", "lattice": [[0.0000, 3.7155, 3.7155], [3.7155, 0.0000, 3.7155], [3.7155, 3.7155, 0.0000]], "species": ["Pm", "Nd", "Pa"], "frac_coords": [[0.0000, 0.0000, 0.0000], [0.2500, 0.2500, 0.2500], [0.5000, 0.5000, 0.5000]], "formation_enthalpy_0k_ev_per_atom": 1.079, "vol_a3_per_cell": 102.59, "magmom_total_mub_per_atom": 0.618, "polymorph_energy_mev_per_atom": 0, "crystal_system": "cubic", "space_group": "F-43m, No. 216"}



Entry 6:
{"formula": "LaAgIr", "functional": "GGA-PBE", "state": "optimized geometry", "lattice": [[0.0000, 3.4001, 3.4001], [3.4001, 0.0000, 3.4001], [3.4001, 3.4001, 0.0000]], "species": ["La", "Ag", "Ir"], "frac_coords": [[0.0000, 0.0000, 0.0000], [0.7500, 0.7500, 0.7500], [0.2500, 0.2500, 0.2500]], "formation_enthalpy_0k_ev_per_atom": 0.309, "vol_a3_per_cell": 78.61, "magmom_total_mub_per_atom": 0.001, "polymorph_energy_mev_per_atom": 494, "crystal_system": "cubic", "space_group": "F-43m, No. 216"}